No. 1
! SrPCl (GGA-PBE, optimized geometry); values from VASP
&SYSTEM
  ibrav = 0, nat = 6, ntyp = 3
/
ATOMIC_SPECIES
Sr 87.62 Sr.upf
P 30.97 P.upf
Cl 35.45 Cl.upf
CELL_PARAMETERS angstrom
-1.905 9.204 2.059
1.905 -9.204 2.059
1.905 9.204 -2.059
ATOMIC_POSITIONS crystal
Sr 0.130 0.000 0.130
Sr 0.870 0.000 0.870
P 0.522 0.522 0.000
P 0.869 0.369 0.500
Cl 0.307 0.996 0.311
Cl 0.686 0.996 0.689
! formation energy from raw total energies: -1569 meV per atom
! E_tot: -27.29 eV per cell
! SG: Imm2, No. 44

---

No. 2
! Sr4P2Cl (GGA-PBE, optimized geometry); values from VASP
&SYSTEM
  ibrav = 0, nat = 7, ntyp = 3
/
ATOMIC_SPECIES
Sr 87.62 Sr.upf
P 30.97 P.upf
Cl 35.45 Cl.upf
CELL_PARAMETERS angstrom
2.222 1.283 14.675
-2.222 1.283 14.675
0.000 -2.566 14.675
ATOMIC_POSITIONS crystal
Sr 0.117 0.117 0.117
Sr 0.287 0.287 0.287
Sr 0.713 0.713 0.713
Sr 0.883 0.883 0.883
P 0.415 0.415 0.415
P 0.585 0.585 0.585
Cl 0.000 0.000 0.000
! formation energy from raw total energies: -1321 meV per atom
! E_tot: -28.64 eV per cell
! SG: R-3m, No. 166

---

No. 3
! Sr2P2Cl (GGA-PBE, optimized geometry); values from VASP
&SYSTEM
  ibrav = 0, nat = 10, ntyp = 3
/
ATOMIC_SPECIES
Sr 87.62 Sr.upf
P 30.97 P.upf
Cl 35.45 Cl.upf
CELL_PARAMETERS angstrom
8.262 0.000 0.000
0.000 8.262 0.000
0.000 0.000 3.837
ATOMIC_POSITIONS crystal
Sr 0.194 0.306 0.000
Sr 0.306 0.806 0.000
Sr 0.694 0.194 0.000
Sr 0.806 0.694 0.000
P 0.091 0.591 0.500
P 0.409 0.091 0.500
P 0.591 0.909 0.500
P 0.909 0.409 0.500
Cl 0.000 0.000 0.500
Cl 0.500 0.500 0.500
! formation energy from raw total energies: -1150 meV per atom
! E_tot: -43.56 eV per cell
! SG: P4/mbm, No. 127

---

No. 4
! SrPCl (GGA-PBE, optimized geometry); values from VASP
&SYSTEM
  ibrav = 0, nat = 6, ntyp = 3
/
ATOMIC_SPECIES
Sr 87.62 Sr.upf
P 30.97 P.upf
Cl 35.45 Cl.upf
CELL_PARAMETERS angstrom
2.293 -10.740 0.000
2.293 10.740 0.000
-1.840 0.000 3.697
ATOMIC_POSITIONS crystal
Sr 0.106 0.894 0.500
Sr 0.894 0.106 0.000
P 0.603 0.648 0.314
P 0.648 0.603 0.814
Cl 0.188 0.530 0.678
Cl 0.530 0.188 0.178
! formation energy from raw total energies: -1503 meV per atom
! E_tot: -26.90 eV per cell
! SG: Cc, No. 9

---

No. 5
! SrP2Cl (GGA-PBE, optimized geometry); values from VASP
&SYSTEM
  ibrav = 0, nat = 4, ntyp = 3
/
ATOMIC_SPECIES
Sr 87.62 Sr.upf
P 30.97 P.upf
Cl 35.45 Cl.upf
CELL_PARAMETERS angstrom
4.121 -1.842 0.000
4.121 1.842 0.000
-2.431 0.000 7.752
ATOMIC_POSITIONS crystal
Sr 0.000 0.000 0.000
P 0.236 0.236 0.756
P 0.587 0.587 0.661
Cl 0.750 0.750 0.194
! formation energy from raw total energies: -940 meV per atom
! E_tot: -18.11 eV per cell
! SG: Cm, No. 8

---

No. 6
! SrP2Cl (GGA-PBE, optimized geometry); values from VASP
&SYSTEM
  ibrav = 0, nat = 4, ntyp = 3
/
ATOMIC_SPECIES
Sr 87.62 Sr.upf
P 30.97 P.upf
Cl 35.45 Cl.upf
CELL_PARAMETERS angstrom
0.000 3.606 3.606
3.606 0.000 3.606
3.606 3.606 0.000
ATOMIC_POSITIONS crystal
Sr 0.000 0.000 0.000
P 0.250 0.250 0.250
P 0.750 0.750 0.750
Cl 0.500 0.500 0.500
! formation energy from raw total energies: 277 meV per atom
! E_tot: -13.24 eV per cell
! SG: Fm-3m, No. 225

---

No. 7
! Sr3PCl (GGA-PBE, optimized geometry); values from VASP
&SYSTEM
  ibrav = 0, nat = 5, ntyp = 3
/
ATOMIC_SPECIES
Sr 87.62 Sr.upf
P 30.97 P.upf
Cl 35.45 Cl.upf
CELL_PARAMETERS angstrom
5.932 0.000 0.000
0.000 5.932 0.000
0.000 0.000 5.932
ATOMIC_POSITIONS crystal
Sr 0.000 0.000 0.500
Sr 0.000 0.500 0.000
Sr 0.500 0.000 0.000
P 0.000 0.000 0.000
Cl 0.500 0.500 0.500
! formation energy from raw total energies: -842 meV per atom
! E_tot: -16.51 eV per cell
! SG: Pm-3m, No. 221

---

No. 8
! Sr4PCl5 (GGA-PBE, optimized geometry); values from VASP
&SYSTEM
  ibrav = 0, nat = 10, ntyp = 3
/
ATOMIC_SPECIES
Sr 87.62 Sr.upf
P 30.97 P.upf
Cl 35.45 Cl.upf
CELL_PARAMETERS angstrom
9.324 -2.208 0.000
9.324 2.208 0.000
-2.687 0.000 8.040
ATOMIC_POSITIONS crystal
Sr 0.000 0.000 0.243
Sr 0.000 0.000 0.757
Sr 0.330 0.330 0.869
Sr 0.670 0.670 0.131
P 0.500 0.500 0.000
Cl 0.167 0.167 0.351
Cl 0.170 0.170 0.888
Cl 0.500 0.500 0.500
Cl 0.830 0.830 0.112
Cl 0.833 0.833 0.649
! formation energy from raw total energies: -2163 meV per atom
! E_tot: -43.00 eV per cell
! SG: C2/m, No. 12

---

No. 9
! SrPCl (GGA-PBE, optimized geometry); values from VASP
&SYSTEM
  ibrav = 0, nat = 6, ntyp = 3
/
ATOMIC_SPECIES
Sr 87.62 Sr.upf
P 30.97 P.upf
Cl 35.45 Cl.upf
CELL_PARAMETERS angstrom
5.340 -2.007 0.000
5.340 2.007 0.000
-1.960 0.000 7.893
ATOMIC_POSITIONS crystal
Sr 0.000 0.000 0.000
Sr 0.210 0.210 0.560
P 0.278 0.278 0.954
P 0.689 0.689 0.868
Cl 0.595 0.595 0.299
Cl 0.921 0.921 0.598
! formation energy from raw total energies: -1520 meV per atom
! E_tot: -27.00 eV per cell
! SG: Cm, No. 8

---

No. 10
! SrP3Cl (GGA-PBE, optimized geometry); values from VASP
&SYSTEM
  ibrav = 0, nat = 5, ntyp = 3
/
ATOMIC_SPECIES
Sr 87.62 Sr.upf
P 30.97 P.upf
Cl 35.45 Cl.upf
CELL_PARAMETERS angstrom
4.813 0.000 0.000
0.000 4.813 0.000
0.000 0.000 4.813
ATOMIC_POSITIONS crystal
Sr 0.000 0.000 0.000
P 0.000 0.500 0.500
P 0.500 0.000 0.500
P 0.500 0.500 0.000
Cl 0.500 0.500 0.500
! formation energy from raw total energies: 486 meV per atom
! E_tot: -17.33 eV per cell
! SG: Pm-3m, No. 221

---

No. 11
! SrPCl4 (GGA-PBE, optimized geometry); values from VASP
&SYSTEM
  ibrav = 0, nat = 6, ntyp = 3
/
ATOMIC_SPECIES
Sr 87.62 Sr.upf
P 30.97 P.upf
Cl 35.45 Cl.upf
CELL_PARAMETERS angstrom
0.000 4.296 4.296
4.296 0.000 4.296
4.296 4.296 0.000
ATOMIC_POSITIONS crystal
Sr 0.000 0.000 0.000
P 0.250 0.250 0.250
Cl 0.124 0.625 0.625
Cl 0.625 0.124 0.625
Cl 0.625 0.625 0.124
Cl 0.625 0.625 0.625
! formation energy from raw total energies: -124 meV per atom
! E_tot: -15.22 eV per cell
! SG: F-43m, No. 216

---

No. 12
! SrP2Cl (GGA-PBE, optimized geometry); values from VASP
&SYSTEM
  ibrav = 0, nat = 4, ntyp = 3
/
ATOMIC_SPECIES
Sr 87.62 Sr.upf
P 30.97 P.upf
Cl 35.45 Cl.upf
CELL_PARAMETERS angstrom
-1.925 1.925 6.102
1.925 -1.925 6.102
1.925 1.925 -6.102
ATOMIC_POSITIONS crystal
Sr 0.000 0.000 0.000
P 0.250 0.750 0.500
P 0.750 0.250 0.500
Cl 0.500 0.500 0.000
! formation energy from raw total energies: -651 meV per atom
! E_tot: -16.95 eV per cell
! SG: I4/mmm, No. 139

---

> Which formula does entry 1 have?

SrPCl

---

Please write out number 5 again, unchanged.
! SrP2Cl (GGA-PBE, optimized geometry); values from VASP
&SYSTEM
  ibrav = 0, nat = 4, ntyp = 3
/
ATOMIC_SPECIES
Sr 87.62 Sr.upf
P 30.97 P.upf
Cl 35.45 Cl.upf
CELL_PARAMETERS angstrom
4.121 -1.842 0.000
4.121 1.842 0.000
-2.431 0.000 7.752
ATOMIC_POSITIONS crystal
Sr 0.000 0.000 0.000
P 0.236 0.236 0.756
P 0.587 0.587 0.661
Cl 0.750 0.750 0.194
! formation energy from raw total energies: -940 meV per atom
! E_tot: -18.11 eV per cell
! SG: Cm, No. 8